The following is a PBE-GGA calculation of a relaxed LaPr2Ho crystal, from the Alexandria database.

abc: 5.209 5.182 5.182
angles: 90.00 90.00 90.00
Fractional coordinates of all 4 atoms:
Ho (0.500, 0.500, 0.500)
La (0.500, 0.000, 0.000)
Pr (0.000, 0.500, 0.000)
Pr (0.000, 0.000, 0.500)

Output
calculated total energy: -4.75 eV/atom
V: 35.0 Å³/atom
spin magnetization: 0.00 μB/f.u.
formation energy from the elements: 0.01 eV/atom
density of states at the Fermi level: 6.320 states/eV/f.u.
SG: No. 123
offset from the most stable computed form: 0.0 meV per atom

=====

The following is a PBE-GGA calculation of a relaxed La3Pr5Ho4 crystal, from the Alexandria database.

abc: 6.069 8.798 9.819
angles: 106.19 72.00 69.82
Each line ends with the local moment (μB).
Fractional coordinates of all 12 atoms:
La (0.513, 0.693, 0.282)  0.00
Pr (0.219, 0.455, 0.107)  0.00
Ho (0.142, 0.778, 0.937)  0.00
La (0.000, 0.500, 0.500)  0.07
Pr (0.624, 0.953, 0.799)  0.00
La (0.487, 0.307, 0.718)  0.00
Ho (0.841, 0.949, 0.369)  0.00
Pr (0.781, 0.545, 0.893)  0.00
Ho (0.858, 0.222, 0.063)  0.00
Pr (0.500, 0.500, 0.500)  0.07
Ho (0.159, 0.051, 0.631)  0.00
Pr (0.376, 0.047, 0.201)  0.00

Output
calculated total energy: -4.53 eV/atom
V: 35.2 Å³/atom
spin magnetization: 0.19 μB/f.u.
formation energy from the elements: 0.22 eV/atom
density of states at the Fermi level: 19.870 states/eV/f.u.
SG: No. 12

=====

The following is a PBE-GGA calculation of a relaxed LaPr6Ho12 crystal, from the Alexandria database.

abc: 8.630 8.630 8.630
angles: 88.56 88.56 88.56
Fractional coordinates of all 19 atoms:
Pr (0.008, 0.359, 0.210)
Pr (0.992, 0.641, 0.790)
Ho (0.905, 0.739, 0.310)
Ho (0.310, 0.905, 0.739)
Ho (0.739, 0.310, 0.905)
Pr (0.641, 0.790, 0.992)
Ho (0.564, 0.457, 0.229)
Ho (0.690, 0.095, 0.261)
La (0.000, 0.000, 0.000)
Pr (0.210, 0.008, 0.359)
Ho (0.261, 0.690, 0.095)
Pr (0.359, 0.210, 0.008)
Pr (0.790, 0.992, 0.641)
Ho (0.095, 0.261, 0.690)
Ho (0.229, 0.564, 0.457)
Ho (0.543, 0.771, 0.436)
Ho (0.457, 0.229, 0.564)
Ho (0.771, 0.436, 0.543)
Ho (0.436, 0.543, 0.771)

Output
calculated total energy: -4.54 eV/atom
V: 33.8 Å³/atom
spin magnetization: 0.00 μB/f.u.
formation energy from the elements: 0.12 eV/atom
density of states at the Fermi level: 29.693 states/eV/f.u.
SG: No. 148
offset from the most stable computed form: 0.0 meV per atom

=====

The following is a PBE-GGA calculation of a relaxed La2Pr4Ho crystal, from the Alexandria database.

abc: 3.719 3.719 20.996
angles: 84.92 84.92 60.00
Fractional coordinates of all 7 atoms:
La (0.406, 0.406, 0.783)
La (0.594, 0.594, 0.217)
Pr (0.691, 0.691, 0.927)
Pr (0.309, 0.309, 0.073)
Ho (0.500, 0.500, 0.500)
Pr (0.880, 0.880, 0.361)
Pr (0.120, 0.120, 0.639)

Output
calculated total energy: -4.78 eV/atom
V: 35.7 Å³/atom
spin magnetization: 0.00 μB/f.u.
formation energy from the elements: 0.01 eV/atom
density of states at the Fermi level: 10.618 states/eV/f.u.
SG: No. 166
offset from the most stable computed form: 0.0 meV per atom

=====

Question: Which formula does entry 1 have?
Answer: LaPr2Ho

=====

Question: Look up the calculated total energy of the fourth one.
Answer: -4.78 eV/atom